# SCAN CaZn2Pt, PBEsol geometry
# energy relative to the elements	-201	meV per atom
# V	17.4	A^3/atom
# VASP energy	-26.92	eV/atom
# ρ	8.7	g/cm3
# spin magnetization	0.0	μB per formula unit
data_CaZn2Pt
_chemical_formula_sum 'Ca2 Zn4 Pt2'
_symmetry_space_group_name_H-M 'C 1 2/m 1'
_symmetry_Int_Tables_number 12
_symmetry_space_group_name_Hall '-C 2y'
_cell_length_a 5.488
_cell_length_b 9.725
_cell_length_c 2.898
_cell_angle_alpha 90.00
_cell_angle_beta 115.95
_cell_angle_gamma 90.00
loop_
_atom_site_label
_atom_site_type_symbol
_atom_site_fract_x
_atom_site_fract_y
_atom_site_fract_z
Ca1 Ca 0.000 0.000 0.000
Zn1 Zn 0.250 0.250 0.500
Pt1 Pt 0.000 0.500 0.000